No. 1
Material: La2InFe
Method: DFT, PBE-GGA
State: optimized geometry Values from VASP.

The structure in Quantum ESPRESSO input format:
```
&SYSTEM
  ibrav = 0, nat = 4, ntyp = 3
/
ATOMIC_SPECIES
La 138.91 La.upf
In 114.82 In.upf
Fe 55.84 Fe.upf
ATOMIC_POSITIONS angstrom
La 0.000 0.000 1.717
La 0.000 0.000 6.348
In 1.828 1.828 4.032
Fe 1.828 1.828 0.000
CELL_PARAMETERS angstrom
3.655 0.000 0.000
0.000 3.655 0.000
0.000 0.000 8.064
```

Output
Volume in Å³/cell: 107.8
Space-group type: No. 123
DFT total energy in Ry/atom: -0.3924
DFT formation energy in eV/atom: -0.074

***

No. 2
Material: LaInFe4
Method: DFT, PBE-GGA
State: optimized geometry Values from VASP.

The structure in Quantum ESPRESSO input format:
```
&SYSTEM
  ibrav = 0, nat = 6, ntyp = 3
/
ATOMIC_SPECIES
La 138.91 La.upf
In 114.82 In.upf
Fe 55.84 Fe.upf
ATOMIC_POSITIONS angstrom
La 0.000 0.000 0.000
In 1.830 1.830 1.830
Fe 4.573 2.746 2.746
Fe 2.746 4.573 2.746
Fe 2.746 2.746 4.573
Fe 4.573 4.573 4.573
CELL_PARAMETERS angstrom
0.000 3.659 3.659
3.659 0.000 3.659
3.659 3.659 0.000
```

Output
Volume in Å³/cell: 98.0
Space-group type: No. 216
DFT total energy in Ry/atom: -0.5032
DFT formation energy in eV/atom: 0.073

***

No. 3
Material: La6In2Fe
Method: DFT, PBE-GGA
State: optimized geometry Values from VASP.

The structure in Quantum ESPRESSO input format:
```
&SYSTEM
  ibrav = 0, nat = 9, ntyp = 3
/
ATOMIC_SPECIES
La 138.91 La.upf
In 114.82 In.upf
Fe 55.84 Fe.upf
ATOMIC_POSITIONS angstrom
La 3.230 1.863 4.481
La 5.372 1.863 1.550
La 0.111 0.000 4.643
La 8.491 0.000 1.389
La 3.230 -1.863 4.481
La 5.372 -1.863 1.550
In 2.156 0.000 1.502
In 6.446 0.000 4.530
Fe -2.106 0.000 3.016
CELL_PARAMETERS angstrom
6.407 -3.678 0.000
6.407 3.678 0.000
-4.212 0.000 6.032
```

Output
Volume in Å³/cell: 284.2
Space-group type: No. 12
DFT total energy in Ry/atom: -0.3747
DFT formation energy in eV/atom: -0.265

***

No. 4
Material: La2InFe
Method: DFT, PBE-GGA
State: optimized geometry Values from VASP.

The structure in Quantum ESPRESSO input format:
```
&SYSTEM
  ibrav = 0, nat = 8, ntyp = 3
/
ATOMIC_SPECIES
La 138.91 La.upf
In 114.82 In.upf
Fe 55.84 Fe.upf
ATOMIC_POSITIONS angstrom
La 0.000 0.000 0.000
La 0.000 2.323 2.424
La 2.323 0.000 7.272
La 2.323 2.323 4.848
In 0.000 0.000 4.848
In 2.323 2.323 0.000
Fe 0.000 2.323 7.272
Fe 2.323 0.000 2.424
CELL_PARAMETERS angstrom
4.646 0.000 0.000
0.000 4.646 0.000
0.000 0.000 9.696
```

Output
Volume in Å³/cell: 209.3
Space-group type: No. 119
DFT total energy in Ry/atom: -0.3827
DFT formation energy in eV/atom: 0.057